--- w ---
Below is an optimized crystal structure of BeGaReW, with properties calculated at the GGA-PBE level.

Lattice parameters (Å, degrees): 4.2779 4.2779 4.2779 60.00 60.00 60.00
Last column: nearest neighbours and their distance in Å.
Sites, in units of the cell vectors:
1 Be 0.0000 0.0000 0.0000  4 W 2.62, 4 Ga 2.62
2 Ga 0.2500 0.2500 0.2500  4 Re 2.62, 4 Be 2.62
3 Re 0.5000 0.5000 0.5000  4 W 2.62, 4 Ga 2.62
4 W 0.7500 0.7500 0.7500  4 Re 2.62, 4 Be 2.62

Values from the calculation:
Density: 13.462 g/cm³

=====

--- x ---
Below is an optimized crystal structure of BeGaReW, with properties calculated at the GGA-PBE level.

Lattice parameters (Å, degrees): 4.2334 4.2334 4.2334 60.00 60.00 60.00
Last column: nearest neighbours and their distance in Å.
Sites, in units of the cell vectors:
1 Be 0.0000 0.0000 0.0000  4 W 2.59, 4 Re 2.59
2 Ga 0.5000 0.5000 0.5000  4 W 2.59, 4 Re 2.59
3 Re 0.2500 0.2500 0.2500  4 Ga 2.59, 4 Be 2.59
4 W 0.7500 0.7500 0.7500  4 Ga 2.59, 4 Be 2.59

Values from the calculation:
Density: 13.891 g/cm³

=====

w is the most stable structure shown above.